Run A
# Si2Ag2Te, optimized geometry, DFT PBE
# Total magnetization = 0.0 μB per cell
# Calculated volume = 100.6 Å³/cell
# N(E_F) = 2.21 states/eV per cell
# Space-group type = I4/mmm
data_Si2Ag2Te
_cell_length_a 4.2444
_cell_length_b 4.2444
_cell_length_c 6.3407
_cell_angle_alpha 70.45
_cell_angle_beta 70.45
_cell_angle_gamma 90.00
_symmetry_space_group_name_H-M 'P 1'
_symmetry_Int_Tables_number 1
loop_
_symmetry_equiv_pos_as_xyz
'x,y,z'
loop_
_atom_site_label
_atom_site_type_symbol
_atom_site_fract_x
_atom_site_fract_y
_atom_site_fract_z
_atom_site_occupancy
Si1 Si 0.3959 0.3959 0.2082 1
Si2 Si 0.6041 0.6041 0.7918 1
Te1 Te 0.0000 0.0000 0.0000 1
Ag1 Ag 0.7500 0.2500 0.5000 1
Ag2 Ag 0.2500 0.7500 0.5000 1

***

Run B
# Si2Ag2Te, optimized geometry, DFT PBE
# Total magnetization = 0.0 μB per cell
# Calculated volume = 199.5 Å³/cell
# N(E_F) = 3.60 states/eV per cell
# Space-group type = P4/mbm
data_Si2Ag2Te
_cell_length_a 8.1605
_cell_length_b 8.1605
_cell_length_c 2.9959
_cell_angle_alpha 90.00
_cell_angle_beta 90.00
_cell_angle_gamma 90.00
_symmetry_space_group_name_H-M 'P 1'
_symmetry_Int_Tables_number 1
loop_
_symmetry_equiv_pos_as_xyz
'x,y,z'
loop_
_atom_site_label
_atom_site_type_symbol
_atom_site_fract_x
_atom_site_fract_y
_atom_site_fract_z
_atom_site_occupancy
Si1 Si 0.3155 0.8155 0.0000 1
Si2 Si 0.8155 0.6845 0.0000 1
Si3 Si 0.6845 0.1845 0.0000 1
Si4 Si 0.1845 0.3155 0.0000 1
Te1 Te 0.0000 0.0000 0.0000 1
Te2 Te 0.5000 0.5000 0.0000 1
Ag1 Ag 0.1192 0.6192 0.5000 1
Ag2 Ag 0.6192 0.8808 0.5000 1
Ag3 Ag 0.8808 0.3808 0.5000 1
Ag4 Ag 0.3808 0.1192 0.5000 1

***

Most stable structure among those shown: run A. Next: +58 meV per atom.